(1)
Material: Ho2ZnCu3
Method: DFT, PBE
State: optimized geometry

Cell lengths 5.3910, 5.3910, 6.7444 Å; angles 127.85, 127.85, 47.26 degrees
Last column: nearest neighbours and their distance in Å.
Fractional positions:
Cu 0.6641 0.6641 0.2157  2 Zn 2.49, 2 Cu 2.52-2.67
Cu 0.6658 0.6658 0.6126  3 Cu 2.50-2.67, 1 Zn 2.53
Cu 0.3359 0.3359 0.7853  3 Cu 2.50-2.52, 1 Zn 2.66
Ho 0.9536 0.9536 0.2004  9 Cu 2.93-3.14, 3 Zn 3.05-3.12
Ho 0.0467 0.0467 0.7966  9 Cu 2.91-3.13, 3 Zn 2.97-2.98
Zn 0.3339 0.3339 0.3895  4 Cu 2.49-2.66

Calculated values
total magnetization: 0.0 μB per cell
ΔE_f: -0.30 eV/atom
symmetry: Cm (8)


(2)
Material: HoZnCu4
Method: DFT, PBE
State: optimized geometry

Cell lengths 4.9831, 4.9831, 4.9831 Å; angles 60.31, 60.31, 60.31 degrees
Last column: nearest neighbours and their distance in Å.
Fractional positions:
Cu 0.3734 0.3734 0.3734  6 Cu 2.47-2.51
Cu 0.8776 0.3734 0.3734  6 Cu 2.47-2.52
Cu 0.3734 0.8776 0.3734  6 Cu 2.47-2.52
Cu 0.3734 0.3734 0.8776  6 Cu 2.47-2.52
Ho 0.7504 0.7504 0.7504  12 Cu 2.93-2.94, 4 Zn 3.06
Zn 0.0019 0.0019 0.0019  12 Cu 2.89-2.94, 4 Ho 3.06

Calculated values
total magnetization: 0.0 μB per cell
ΔE_f: -0.24 eV/atom
symmetry: R3m (160)


(3)
Material: HoZnCu4
Method: DFT, PBE
State: optimized geometry

Cell lengths 4.9717, 4.9717, 5.0067 Å; angles 119.57, 119.57, 60.60 degrees
Last column: nearest neighbours and their distance in Å.
Fractional positions:
Cu 0.3734 0.3734 0.1224  6 Cu 2.48-2.54
Cu 0.3727 0.3727 0.6255  6 Cu 2.46-2.52
Cu 0.8775 0.3746 0.6281  6 Cu 2.46-2.54
Cu 0.3746 0.8775 0.6281  6 Cu 2.46-2.54
Ho 0.7506 0.7506 0.2496  12 Cu 2.92-2.95, 4 Zn 3.06-3.07
Zn 0.0013 0.0013 0.9964  12 Cu 2.88-2.97, 4 Ho 3.06-3.07

Calculated values
total magnetization: 0.0 μB per cell
ΔE_f: -0.24 eV/atom
symmetry: Cm (8)


(4)
Material: HoZn8Cu4
Method: DFT, PBE
State: optimized geometry

Cell lengths 6.6686, 6.6686, 6.6686 Å; angles 97.92, 97.92, 136.43 degrees
Last column: nearest neighbours and their distance in Å.
Fractional positions:
Cu 0.5000 0.0000 0.0000  2 Cu 2.48, 8 Zn 2.53-2.66
Cu 0.0000 0.5000 0.0000  2 Cu 2.48, 8 Zn 2.53-2.66
Cu 0.0000 0.0000 0.5000  2 Cu 2.48, 8 Zn 2.53-2.66
Cu 0.5000 0.5000 0.5000  2 Cu 2.48, 8 Zn 2.53-2.66
Ho 0.0000 0.0000 0.0000  12 Zn 3.04-3.12, 8 Cu 3.33
Zn 0.5000 0.7178 0.2178  4 Cu 2.53, 6 Zn 2.70-2.81
Zn 0.7178 0.5000 0.2178  4 Cu 2.53, 6 Zn 2.70-2.81
Zn 0.3474 0.0000 0.3474  4 Cu 2.66, 5 Zn 2.67-2.81
Zn 0.0000 0.3474 0.3474  4 Cu 2.66, 5 Zn 2.67-2.81
Zn 0.6526 0.0000 0.6526  4 Cu 2.66, 5 Zn 2.67-2.81
Zn 0.0000 0.6526 0.6526  4 Cu 2.66, 5 Zn 2.67-2.81
Zn 0.2822 0.5000 0.7822  4 Cu 2.53, 6 Zn 2.70-2.81
Zn 0.5000 0.2822 0.7822  4 Cu 2.53, 6 Zn 2.70-2.81

Calculated values
total magnetization: 0.0 μB per cell
ΔE_f: -0.20 eV/atom
symmetry: I4/mmm (139)


(5)
Material: HoZnCu
Method: DFT, PBE
State: optimized geometry

Cell lengths 5.3616, 5.3616, 6.8199 Å; angles 126.91, 126.91, 47.71 degrees
Last column: nearest neighbours and their distance in Å.
Fractional positions:
Cu 0.3389 0.3389 0.2936  1 Cu 2.50, 3 Zn 2.51-2.70
Cu 0.6611 0.6611 0.7064  1 Cu 2.50, 3 Zn 2.51-2.70
Ho 0.0469 0.0469 0.2981  5 Cu 2.88-3.10, 6 Zn 3.02-3.14
Ho 0.9531 0.9531 0.7019  5 Cu 2.88-3.10, 6 Zn 3.02-3.14
Zn 0.6698 0.6698 0.1100  3 Cu 2.51-2.70, 1 Zn 2.60
Zn 0.3302 0.3302 0.8900  3 Cu 2.51-2.70, 1 Zn 2.60

Calculated values
total magnetization: 0.0 μB per cell
ΔE_f: -0.33 eV/atom
symmetry: C2/m (12)


(6)
Material: Ho2Zn3Cu
Method: DFT, PBE
State: optimized geometry

Cell lengths 5.4940, 5.4940, 6.9593 Å; angles 128.20, 128.20, 47.22 degrees
Last column: nearest neighbours and their distance in Å.
Fractional positions:
Cu 0.6648 0.6648 0.7129  4 Zn 2.53-2.76
Ho 0.0421 0.0421 0.2941  9 Zn 2.99-3.19, 3 Cu 3.16-3.17
Ho 0.9577 0.9577 0.7075  3 Cu 2.97-3.01, 9 Zn 3.03-3.18
Zn 0.6657 0.6657 0.1108  3 Zn 2.55-2.58, 1 Cu 2.76
Zn 0.3380 0.3380 0.2889  1 Cu 2.54, 3 Zn 2.55-2.76
Zn 0.3316 0.3316 0.8857  2 Cu 2.53, 2 Zn 2.58-2.76

Calculated values
total magnetization: 0.0 μB per cell
ΔE_f: -0.35 eV/atom
symmetry: Cm (8)


(7)
Material: HoZnCu
Method: DFT, PBE
State: optimized geometry

Cell lengths 4.5938, 4.5938, 4.5938 Å; angles 60.00, 60.00, 60.00 degrees
Last column: nearest neighbours and their distance in Å.
Fractional positions:
Cu 0.0000 0.0000 0.0000  4 Ho 2.81
Ho 0.2500 0.2500 0.2500  4 Zn 2.81, 4 Cu 2.81
Zn 0.5000 0.5000 0.5000  4 Ho 2.81

Calculated values
total magnetization: 0.0 μB per cell
ΔE_f: 0.29 eV/atom
symmetry: F-43m (216)


(8)
Material: HoZnCu
Method: DFT, PBE
State: optimized geometry

Cell lengths 4.4421, 4.4421, 4.4421 Å; angles 60.00, 60.00, 60.00 degrees
Last column: nearest neighbours and their distance in Å.
Fractional positions:
Cu 0.0000 0.0000 0.0000  4 Ho 2.72, 4 Zn 2.72
Ho 0.2500 0.2500 0.2500  4 Cu 2.72
Zn 0.7500 0.7500 0.7500  4 Cu 2.72

Calculated values
total magnetization: 0.1 μB per cell
ΔE_f: -0.14 eV/atom
symmetry: F-43m (216)


(9)
Material: Ho2Zn5Cu5
Method: DFT, PBE
State: optimized geometry

Cell lengths 4.1660, 5.1196, 8.8212 Å; angles 90.00, 90.00, 90.00 degrees
Last column: nearest neighbours and their distance in Å.
Fractional positions:
Cu 0.5000 0.0000 0.0000  4 Zn 2.51, 4 Cu 2.53
Cu 0.0000 0.0000 0.1635  2 Cu 2.53, 4 Zn 2.55
Cu 0.0000 0.5000 0.3344  6 Zn 2.54-2.57
Cu 0.0000 0.5000 0.6656  6 Zn 2.54-2.57
Cu 0.0000 0.0000 0.8365  2 Cu 2.53, 4 Zn 2.55
Ho 0.0000 0.5000 0.0000  6 Cu 2.94-2.95, 8 Zn 3.27
Ho 0.0000 0.0000 0.5000  6 Cu 2.95-2.97, 4 Zn 3.30
Zn 0.5000 0.2495 0.2453  5 Cu 2.51-2.57, 3 Zn 2.55-2.59
Zn 0.5000 0.7505 0.2453  5 Cu 2.51-2.57, 3 Zn 2.55-2.59
Zn 0.5000 0.5000 0.5000  4 Cu 2.54, 4 Zn 2.59
Zn 0.5000 0.2495 0.7547  5 Cu 2.51-2.57, 3 Zn 2.55-2.59
Zn 0.5000 0.7505 0.7547  5 Cu 2.51-2.57, 3 Zn 2.55-2.59

Calculated values
total magnetization: 0.0 μB per cell
ΔE_f: -0.29 eV/atom
symmetry: Pmmm (47)


(10)
Material: HoZnCu
Method: DFT, PBE
State: optimized geometry

Cell lengths 5.4753, 5.4753, 5.4753 Å; angles 133.25, 95.21, 102.95 degrees
Last column: nearest neighbours and their distance in Å.
Fractional positions:
Cu 0.2829 0.4479 0.3350  2 Cu 2.51, 2 Zn 2.53-2.68
Cu 0.1129 0.9479 0.6650  2 Cu 2.51, 2 Zn 2.53-2.68
Ho 0.2927 0.7475 0.0453  6 Cu 2.96-3.12, 6 Zn 2.97-3.14
Ho 0.7022 0.2475 0.9547  6 Cu 2.96-3.12, 6 Zn 2.97-3.14
Zn 0.8911 0.0546 0.3365  2 Zn 2.52, 2 Cu 2.53-2.68
Zn 0.7181 0.5546 0.6635  2 Zn 2.52, 2 Cu 2.53-2.68

Calculated values
total magnetization: 0.0 μB per cell
ΔE_f: -0.32 eV/atom
symmetry: Ima2 (46)


(11)
Material: HoZnCu
Method: DFT, PBE
State: optimized geometry

Cell lengths 5.4765, 5.4765, 5.4765 Å; angles 133.42, 102.70, 95.32 degrees
Last column: nearest neighbours and their distance in Å.
Fractional positions:
Cu 0.4679 0.1648 0.3031  3 Zn 2.50-2.54, 1 Cu 2.69
Cu 0.8617 0.1648 0.6969  3 Zn 2.50-2.54, 1 Cu 2.69
Ho 0.4536 0.4536 0.0000  6 Cu 2.97-2.99, 6 Zn 3.12
Ho 0.0465 0.5465 0.5000  6 Zn 2.97-2.99, 6 Cu 3.12
Zn 0.0319 0.8352 0.1967  3 Cu 2.50-2.54, 1 Zn 2.69
Zn 0.6384 0.8352 0.8033  3 Cu 2.50-2.54, 1 Zn 2.69

Calculated values
total magnetization: 0.0 μB per cell
ΔE_f: -0.32 eV/atom
symmetry: Imm2 (44)


(12)
Material: HoZrCu6
Method: DFT, PBE
State: optimized geometry

Cell lengths 4.4760, 5.7527, 4.7057 Å; angles 90.00, 90.00, 90.00 degrees
Last column: nearest neighbours and their distance in Å.
Fractional positions:
Cu 0.5000 0.0000 0.2239  6 Cu 2.52-2.78
Cu 0.0000 0.2723 0.3387  7 Cu 2.57-2.82, 2 Zr 2.74, 2 Ho 2.81-2.84
Cu 0.0000 0.7277 0.3387  7 Cu 2.57-2.82, 2 Zr 2.74, 2 Ho 2.81-2.84
Cu 0.5000 0.2654 0.6495  6 Cu 2.52-2.72, 2 Zr 2.71-2.72
Cu 0.5000 0.7346 0.6495  6 Cu 2.52-2.72, 2 Zr 2.71-2.72
Cu 0.0000 0.5000 0.8078  8 Cu 2.57-2.82, 2 Zr 2.75
Ho 0.0000 0.0000 0.8432  12 Cu 2.81-2.88
Zr 0.5000 0.5000 0.1487  12 Cu 2.71-2.90

Calculated values
total magnetization: 0.0 μB per cell
ΔE_f: -0.15 eV/atom
symmetry: Pmm2 (25)


(13)
Material: HoZrCu
Method: DFT, PBE
State: optimized geometry

Cell lengths 4.6351, 4.6351, 4.6351 Å; angles 60.00, 60.00, 60.00 degrees
Last column: nearest neighbours and their distance in Å.
Fractional positions:
Cu 0.0000 0.0000 0.0000  4 Ho 2.84, 4 Zr 2.84
Ho 0.2500 0.2500 0.2500  4 Cu 2.84
Zr 0.7500 0.7500 0.7500  4 Cu 2.84

Calculated values
energy relative to the lowest polymorph listed for this composition: 0 meV/atom
total magnetization: 0.9 μB per cell
ΔE_f: 0.24 eV/atom
symmetry: F-43m (216)